1.
The following is a DFT calculation (PBE-GGA) of a relaxed structure of Ti6Al3V.

abc: 4.5838 7.6905 9.9149
angles: 111.83 90.00 90.00
Element x y z (fractional)
Ti  0.2500  0.4534  0.0744
Ti  0.7500  0.5466  0.9256
Ti  0.2500  0.1476  0.1664
Ti  0.7500  0.8524  0.8336
Ti  0.2500  0.6627  0.6719
Ti  0.7500  0.3373  0.3281
Ti  0.2500  0.2418  0.4756
Ti  0.7500  0.7582  0.5244
Ti  0.2500  0.8540  0.2833
Ti  0.7500  0.1460  0.7167
Ti  0.2500  0.0701  0.8703
Ti  0.7500  0.9299  0.1297
Al  0.2500  0.5553  0.3742
Al  0.7500  0.4447  0.6258
Al  0.2500  0.3684  0.7722
Al  0.7500  0.6316  0.2278
Al  0.2500  0.7664  0.9715
Al  0.7500  0.2336  0.0285
V  0.2500  0.9615  0.5758
V  0.7500  0.0385  0.4242

Values from the calculation:
Energy relative to the elements, eV per atom: -0.245

***

2.
The following is a DFT calculation (PBE-GGA) of a relaxed structure of Dy2Y7Th.

abc: 3.5383 11.8418 8.6973
angles: 110.91 78.24 81.43
Element x y z (fractional)
Dy  0.3904  0.9210  0.2966
Dy  0.6096  0.0790  0.7034
Y  0.0957  0.6159  0.1928
Y  0.9043  0.3841  0.8072
Y  0.6901  0.2018  0.4161
Y  0.3100  0.7982  0.5839
Y  0.2944  0.2882  0.1222
Y  0.7056  0.7118  0.8778
Y  0.5000  0.5000  0.5000
Th  0.0000  0.0000  0.0000

Values from the calculation:
Distance to the lowest polymorph of the same formula, eV per atom: 0.000
Energy relative to the elements, eV per atom: 0.031

***

3.
The following is a DFT calculation (PBE-GGA) of a relaxed structure of Li2OsPd.

abc: 2.6805 2.6805 9.3712
angles: 81.78 81.78 60.00
Element x y z (fractional)
Os  0.0000  0.0000  0.0000
Pd  0.5000  0.5000  0.5000
Li  0.0896  0.0896  0.7313
Li  0.9104  0.9104  0.2687

Values from the calculation:
Distance to the lowest polymorph of the same formula, eV per atom: 0.000
Energy relative to the elements, eV per atom: 0.044

***

4.
The following is a DFT calculation (PBE-GGA) of a relaxed structure of NaTcBSe2.

abc: 4.7874 4.0358 4.7874
angles: 90.00 90.00 90.00
Each line ends with the local moment (μB).
Element x y z (fractional)
Na  0.5000  0.5000  0.5000  0.00
B  0.0000  0.0000  0.0000  0.00
Tc  0.0000  0.5000  0.0000  1.21
Se  0.0000  0.0000  0.5000  0.01
Se  0.5000  0.0000  0.0000  0.03

Values from the calculation:
E_form (uncorrected), eV per atom: 0.51

***

5.
The following is a DFT calculation (PBE-GGA) of a relaxed structure of CsNd5Se8.

abc: 4.3221 10.3802 11.2852
angles: 103.63 101.04 90.00
Element x y z (fractional)
Cs  0.5004  0.4995  0.0008
Nd  0.2977  0.6610  0.5954
Nd  0.7023  0.3390  0.4047
Nd  0.3444  0.0572  0.6888
Nd  0.6555  0.9429  0.3110
Nd  0.0000  0.0001  0.9999
Se  0.2258  0.1407  0.4516
Se  0.7741  0.8593  0.5482
Se  0.1705  0.4960  0.3409
Se  0.8295  0.5040  0.6590
Se  0.0797  0.8046  0.1594
Se  0.9202  0.1955  0.8403
Se  0.4210  0.8565  0.8420
Se  0.5790  0.1437  0.1579

Values from the calculation:
Distance to the lowest polymorph of the same formula, eV per atom: 0.000
E_form (uncorrected), eV per atom: -1.82

***

6.
The following is a DFT calculation (PBE-GGA) of a relaxed structure of Nd6Si2AsCl3.

abc: 4.2423 8.4852 9.4966
angles: 102.96 102.91 90.00
Element x y z (fractional)
Nd  0.3356  0.8964  0.6712
Nd  0.6722  0.5707  0.3443
Nd  0.6644  0.1036  0.3288
Nd  0.0092  0.2414  0.0183
Nd  0.9908  0.7586  0.9817
Nd  0.3278  0.4293  0.6557
Si  0.8329  0.6658  0.6658
Si  0.1671  0.3342  0.3342
As  0.5000  0.0000  0.0000
Cl  0.5000  0.5000  0.0000
Cl  0.8343  0.1659  0.6686
Cl  0.1657  0.8341  0.3314

Values from the calculation:
E_form (uncorrected), eV per atom: -1.31

***

no.,total energy (eV per cell),mass density (kg/m3)
1,-140.32,4290
2,-61.57,6057
3,-20.07,8966
4,-22.76,5201
5,-78.08,5115
6,-65.34,5648